w | BC3 (GGA-PBE, optimized geometry); space group = Pm, No. 6
1.0
4.6054 0.0000 0.0000
0.0000 2.5469 0.0000
-0.1473 0.0000 6.3467
B C
3 9
direct
0.0000 0.0000 0.0000
0.1656 0.5000 0.6680
0.5122 0.5000 0.2483
0.0062 0.0000 0.2680
0.1920 0.5000 0.9276
0.3247 0.0000 0.3419
0.3509 0.0000 0.5763
0.5075 0.5000 0.9825
0.6676 0.0000 0.9101
0.6700 0.0000 0.6607
0.8271 0.5000 0.5854
0.8485 0.5000 0.3375

x | BC3 (GGA-PBE, optimized geometry); space group = R-3m, No. 166
1.0
1.2659 0.7309 8.8455
-1.2659 0.7309 8.8455
0.0000 -1.4617 8.8455
B C
2 6
direct
0.1473 0.1473 0.1473
0.8527 0.8527 0.8527
0.0876 0.0876 0.0876
0.3430 0.3430 0.3430
0.4014 0.4014 0.4014
0.5986 0.5986 0.5986
0.6570 0.6570 0.6570
0.9124 0.9124 0.9124

Stability, lowest: w